A geometry-optimized DyErPt6 structure, computed with PBE.

Cell and atoms, written as extended XYZ:
```
8
Lattice="4.109 0.000 0.000 0.000 4.109 0.000 0.000 0.000 8.219" Properties=species:S:1:pos:R:3 pbc="T T T"
Pt 0.000 2.055 6.153
Er 0.000 0.000 4.110
Pt 0.000 2.055 2.067
Pt 2.055 2.055 4.110
Pt 2.055 0.000 6.153
Pt 2.055 0.000 2.067
Dy 0.000 0.000 0.000
Pt 2.055 2.055 0.000
```

Computed properties:
- Energy relative to the elements: -1.0554 eV/atom
- Calculated volume: 17.35 A^3/atom
- Uncorrected energy: -6.732 eV/atom